(1)
This record from the Alexandria database describes an optimized crystal structure of VPd2W. The functional is PBE. Values from VASP.

## Properties
Its space group is Fm-3m (225). The formation energy is 1.3 eV per formula unit. Its total energy is -31.1 eV for the cell shown. The density of states at the Fermi level is 6.76 states/eV per cell. The calculation puts the relative energy among the computed polymorphs at 0.039 eV per atom.

```
&SYSTEM
  ibrav = 0, nat = 4, ntyp = 3
/
ATOMIC_SPECIES
V 50.94 V.upf
Pd 106.42 Pd.upf
W 183.84 W.upf
CELL_PARAMETERS angstrom
0.0000 3.1461 3.1461
3.1461 0.0000 3.1461
3.1461 3.1461 0.0000
ATOMIC_POSITIONS crystal
V 0.0000 0.0000 0.0000
Pd 0.2500 0.2500 0.2500
Pd 0.7500 0.7500 0.7500
W 0.5000 0.5000 0.5000
```

(2)
This record from the Alexandria database describes an optimized crystal structure of TbPrPtPb. The functional is PBE. Values from VASP.

## Properties
Its space group is F-43m (216). The formation energy is -2.7 eV per formula unit. Its total energy is -21.9 eV for the cell shown. The density of states at the Fermi level is 1.60 states/eV per cell.

```
&SYSTEM
  ibrav = 0, nat = 4, ntyp = 4
/
ATOMIC_SPECIES
Tb 158.93 Tb.upf
Pr 140.91 Pr.upf
Pt 195.08 Pt.upf
Pb 207.20 Pb.upf
CELL_PARAMETERS angstrom
0.0000 3.7493 3.7493
3.7493 0.0000 3.7493
3.7493 3.7493 0.0000
ATOMIC_POSITIONS crystal
Tb 0.0000 0.0000 0.0000
Pr 0.5000 0.5000 0.5000
Pt 0.2500 0.2500 0.2500
Pb 0.7500 0.7500 0.7500
```

(3)
This record from the Alexandria database describes an optimized crystal structure of TaGa3C. The functional is PBE. Values from VASP.

## Properties
Its space group is Pm-3m (221). The formation energy is 5.0 eV per formula unit. Its total energy is -25.2 eV for the cell shown. The density of states at the Fermi level is 4.80 states/eV per cell. The calculation puts the relative energy among the computed polymorphs at 0.000 eV per atom.

```
&SYSTEM
  ibrav = 0, nat = 5, ntyp = 3
/
ATOMIC_SPECIES
Ta 180.95 Ta.upf
Ga 69.72 Ga.upf
C 12.01 C.upf
CELL_PARAMETERS angstrom
4.2459 0.0000 0.0000
0.0000 4.2459 0.0000
0.0000 0.0000 4.2459
ATOMIC_POSITIONS crystal
Ta 0.0000 0.0000 0.0000
Ga 0.0000 0.5000 0.5000
Ga 0.5000 0.0000 0.5000
Ga 0.5000 0.5000 0.0000
C 0.5000 0.5000 0.5000
```

> What is the formula in the third record?

TaGa3C